#i
An optimized crystal structure of OsPb2Au, computed with GGA-PBE.

```
OsPb2Au
1.0
3.230 0.000 0.000
0.000 3.230 0.000
0.000 0.000 8.775
Os Pb Au
1 2 1
Direct
0.000 0.000 0.000
0.000 0.000 0.580
0.500 0.500 0.212
0.500 0.500 0.812
```

Size of the total moment (μB/f.u.): 0.0
DOS(E_F) (states/eV/f.u.): 2.9



#ii
An optimized crystal structure of OsPb2Au, computed with GGA-PBE.

```
OsPb2Au
1.0
3.439 0.000 0.000
0.000 4.652 0.000
0.000 0.000 5.473
Os Pb Au
1 2 1
Direct
0.000 0.000 0.000
0.000 0.500 0.500
0.500 0.500 0.000
0.500 0.000 0.500
```

Size of the total moment (μB/f.u.): 0.0
DOS(E_F) (states/eV/f.u.): 3.3



#iii
An optimized crystal structure of OsPb2Au, computed with GGA-PBE.

```
OsPb2Au
1.0
-3.106 3.106 6.545
3.106 -3.106 6.545
3.106 3.106 -6.545
Os Pb Au
2 4 2
Direct
0.000 0.000 0.000
0.750 0.250 0.500
0.093 0.625 0.968
0.375 0.343 0.468
0.657 0.125 0.032
0.875 0.907 0.532
0.250 0.750 0.500
0.500 0.500 0.000
```

Size of the total moment (μB/f.u.): 0.0
DOS(E_F) (states/eV/f.u.): 1.9



#iv
An optimized crystal structure of OsPb2Au, computed with GGA-PBE.

```
OsPb2Au
1.0
3.605 -3.609 0.000
3.605 3.609 0.000
-0.136 0.000 3.274
Os Pb Au
1 2 1
Direct
0.000 0.000 0.000
0.000 0.500 0.500
0.500 0.000 0.500
0.500 0.500 0.000
```

Size of the total moment (μB/f.u.): 0.0
DOS(E_F) (states/eV/f.u.): 3.0



Energies in meV/atom, measured from the most stable structure: #i 0; #ii 315; #iii 414; #iv 176.



#i
An optimized crystal structure of OsPb2Au, computed with GGA-PBE.

```
OsPb2Au
1.0
0.000 3.522 3.522
3.522 0.000 3.522
3.522 3.522 0.000
Os Pb Au
1 2 1
Direct
0.000 0.000 0.000
0.500 0.500 0.500
0.750 0.750 0.750
0.250 0.250 0.250
```

Size of the total moment (μB/f.u.): 0.0
DOS(E_F) (states/eV/f.u.): 3.2



#ii
An optimized crystal structure of OsPb2Au, computed with GGA-PBE.

```
OsPb2Au
1.0
1.681 0.971 8.967
-1.681 0.971 8.967
0.000 -1.941 8.967
Os Pb Au
1 2 1
Direct
0.000 0.000 0.000
0.256 0.256 0.256
0.744 0.744 0.744
0.500 0.500 0.500
```

Size of the total moment (μB/f.u.): 0.2
DOS(E_F) (states/eV/f.u.): 3.5



#iii
An optimized crystal structure of OsPb2Au, computed with GGA-PBE.

```
OsPb2Au
1.0
-2.115 2.115 4.763
2.115 -2.115 4.763
2.115 2.115 -4.763
Os Pb Au
1 2 1
Direct
0.000 0.000 0.000
0.250 0.750 0.500
0.500 0.500 0.000
0.750 0.250 0.500
```

Size of the total moment (μB/f.u.): 0.0
DOS(E_F) (states/eV/f.u.): 2.7



Energies in meV/atom, measured from the most stable structure: #i 235; #ii 0; #iii 134.



#i
An optimized crystal structure of OsPdAu3, computed with GGA-PBE.

```
OsPdAu3
1.0
4.989 0.000 0.000
0.000 4.989 0.000
0.000 0.000 4.989
Os Pd Au
1 1 3
Direct
0.000 0.000 0.000
0.500 0.500 0.500
0.000 0.000 0.500
0.000 0.500 0.000
0.500 0.000 0.000
```

Size of the total moment (μB/f.u.): 1.7
DOS(E_F) (states/eV/f.u.): 5.0



#ii
An optimized crystal structure of OsPdAu3, computed with GGA-PBE.

```
OsPdAu3
1.0
4.946 0.000 0.000
0.000 4.946 0.000
0.000 0.000 4.946
Os Pd Au
1 1 3
Direct
0.000 0.000 0.000
0.500 0.500 0.500
0.000 0.500 0.500
0.500 0.000 0.500
0.500 0.500 0.000
```

Size of the total moment (μB/f.u.): 3.3
DOS(E_F) (states/eV/f.u.): 7.7



Energies in meV/atom, measured from the most stable structure: #i 0; #ii 368.



#i
An optimized crystal structure of Pr8OsAu2, computed with GGA-PBE.

```
Pr8OsAu2
1.0
9.070 -2.605 0.000
9.070 2.605 0.000
-1.366 0.000 7.016
Pr Os Au
8 1 2
Direct
0.026 0.026 0.287
0.204 0.204 0.823
0.342 0.342 0.532
0.413 0.413 0.062
0.587 0.587 0.938
0.658 0.658 0.468
0.796 0.796 0.177
0.974 0.974 0.713
0.500 0.500 0.500
0.191 0.191 0.234
0.809 0.809 0.766
```

Size of the total moment (μB/f.u.): 0.0
DOS(E_F) (states/eV/f.u.): 11.7



#ii
An optimized crystal structure of Pr8OsAu2, computed with GGA-PBE.

```
Pr8OsAu2
1.0
4.131 -7.947 0.000
4.131 7.947 0.000
-4.065 0.000 5.198
Pr Os Au
8 1 2
Direct
0.000 0.000 0.000
0.179 0.929 0.565
0.410 0.638 0.259
0.448 0.448 0.673
0.505 0.889 0.902
0.638 0.410 0.259
0.889 0.505 0.902
0.929 0.179 0.565
0.781 0.781 0.193
0.032 0.446 0.334
0.446 0.032 0.334
```

Size of the total moment (μB/f.u.): 0.0
DOS(E_F) (states/eV/f.u.): 13.0



Energies in meV/atom, measured from the most stable structure: #i 0; #ii 52.



#i
An optimized crystal structure of Os2PtAu, computed with GGA-PBE.

```
Os2PtAu
1.0
1.379 -2.384 0.000
1.379 2.384 0.000
0.000 0.000 9.722
Os Pt Au
2 1 1
Direct
0.000 0.000 0.000
0.500 0.500 0.225
0.500 0.500 0.751
0.000 0.000 0.489
```

Size of the total moment (μB/f.u.): 0.9
DOS(E_F) (states/eV/f.u.): 4.1



#ii
An optimized crystal structure of Os2PtAu, computed with GGA-PBE.

```
Os2PtAu
1.0
2.781 0.000 0.000
0.000 2.781 0.000
0.000 0.000 7.996
Os Pt Au
2 1 1
Direct
0.000 0.000 0.240
0.000 0.000 0.760
0.500 0.500 0.000
0.500 0.500 0.500
```

Size of the total moment (μB/f.u.): 0.0
DOS(E_F) (states/eV/f.u.): 6.7



Energies in meV/atom, measured from the most stable structure: #i 0; #ii 88.



#i
An optimized crystal structure of OsPtAu2, computed with GGA-PBE.

```
OsPtAu2
1.0
4.667 -1.392 0.000
4.667 1.392 0.000
-0.791 0.000 5.073
Os Pt Au
1 1 2
Direct
0.000 0.000 0.000
0.260 0.260 0.807
0.503 0.503 0.519
0.746 0.746 0.283
```

Size of the total moment (μB/f.u.): 0.0
DOS(E_F) (states/eV/f.u.): 4.5



#ii
An optimized crystal structure of OsPtAu2, computed with GGA-PBE.

```
OsPtAu2
1.0
1.414 0.816 9.399
-1.414 0.816 9.399
0.000 -1.633 9.399
Os Pt Au
1 1 2
Direct
0.000 0.000 0.000
0.500 0.500 0.500
0.251 0.251 0.251
0.749 0.749 0.749
```

Size of the total moment (μB/f.u.): 0.0
DOS(E_F) (states/eV/f.u.): 2.5



Energies in meV/atom, measured from the most stable structure: #i 70; #ii 0.



#i
An optimized crystal structure of OsPtAu3, computed with GGA-PBE.

```
OsPtAu3
1.0
5.006 0.000 0.000
0.000 5.006 0.000
0.000 0.000 5.006
Os Pt Au
1 1 3
Direct
0.000 0.000 0.000
0.500 0.500 0.500
0.000 0.500 0.500
0.500 0.000 0.500
0.500 0.500 0.000
```

Size of the total moment (μB/f.u.): 3.5
DOS(E_F) (states/eV/f.u.): 7.5



#ii
An optimized crystal structure of OsPtAu3, computed with GGA-PBE.

```
OsPtAu3
1.0
4.949 0.000 0.000
0.000 4.949 0.000
0.000 0.000 4.949
Os Pt Au
1 1 3
Direct
0.000 0.000 0.000
0.500 0.500 0.500
0.000 0.000 0.500
0.000 0.500 0.000
0.500 0.000 0.000
```

Size of the total moment (μB/f.u.): 0.0
DOS(E_F) (states/eV/f.u.): 9.1



Energies in meV/atom, measured from the most stable structure: #i 129; #ii 0.



#i
An optimized crystal structure of Rb2OsWAu, computed with GGA-PBE.

```
Rb2OsWAu
1.0
6.431 0.000 0.000
0.000 6.431 0.000
0.000 0.000 5.121
Rb Os W Au
2 1 1 1
Direct
0.000 0.500 0.000
0.500 0.000 0.000
0.000 0.000 0.500
0.500 0.500 0.500
0.000 0.000 0.000
```

Size of the total moment (μB/f.u.): 7.8
DOS(E_F) (states/eV/f.u.): 5.5



#ii
An optimized crystal structure of Rb2OsWAu, computed with GGA-PBE.

```
Rb2OsWAu
1.0
6.773 0.000 0.000
0.000 6.773 0.000
0.000 0.000 5.113
Rb Os W Au
2 1 1 1
Direct
0.000 0.500 0.000
0.500 0.000 0.000
0.000 0.000 0.500
0.500 0.500 0.000
0.500 0.500 0.500
```

Size of the total moment (μB/f.u.): 7.4
DOS(E_F) (states/eV/f.u.): 10.0



Energies in meV/atom, measured from the most stable structure: #i 0; #ii 174.